# PmYPb, relaxed, DFT PBE
# Electronic total energy = -5.367 eV/atom
# Space group = P6_3/mmc, No. 194
# Energy above the lowest structure with this stoichiometry = 65 meV per atom
# Total magnetic moment = 2.59 μB/cell
# Fermi-level density of states = 6.66 states/eV per cell
# Formation energy = -38 kJ/mol of atoms
data_PmYPb
_cell_length_a 5.556
_cell_length_b 5.556
_cell_length_c 6.751
_cell_angle_alpha 90.00
_cell_angle_beta 90.00
_cell_angle_gamma 120.00
_space_group_name_H-M_alt 'P 1'
_space_group_IT_number 1
loop_
_space_group_symop_operation_xyz
'x,y,z'
loop_
_atom_site_label
_atom_site_fract_x
_atom_site_fract_y
_atom_site_fract_z
Pm1 0.333 0.667 0.250
Pm2 0.667 0.333 0.750
Y1 0.000 0.000 0.000
Y2 0.000 0.000 0.500
Pb1 0.333 0.667 0.750
Pb2 0.667 0.333 0.250